Below is an optimized crystal structure of CdRu2Br, with properties calculated at the GGA-PBEsol level.

Cell and atoms, written as POSCAR:
```
CdRu2Br
1.0
-1.451 2.480 4.535
1.451 -2.480 4.535
1.451 2.480 -4.535
Cd Ru Br
1 2 1
Cartesian
0.000 0.000 0.000 Cd
1.451 0.000 2.453 Ru
0.000 2.480 2.082 Ru
0.000 0.000 4.535 Br
```

Values from the calculation:
ΔE to the lowest computed polymorph ... 168 meV/atom
Crystal system ... orthorhombic
Total DFT energy (no corrections) ... -5.04 eV per atom
Calculated volume ... 16.32 Å³ per atom
N(E_F) ... 5.00 states/eV per cell
E_form (uncorrected) ... 0.816 eV per atom